(1)
An optimized crystal structure of NaThCu2Cl8. Source: Alexandria via LeMat-Bulk, functional PBE.

Cell: 6.7128 6.6460 8.2575 Å, 74.79 88.60 96.58°
With the nearest neighbours (Å) after each atom.
Fractional coordinates of all 12 atoms:
Na 0.0000 0.0000 0.5000  6 Cl 2.77-2.96
Th 0.0000 0.0000 0.0000  6 Cl 2.65-2.76
Cu 0.4969 0.4066 0.6796  3 Cl 2.22-2.28
Cu 0.5031 0.5934 0.3204  3 Cl 2.22-2.28
Cl 0.1469 0.7656 0.2798  1 Th 2.70, 1 Cu 2.76, 1 Na 2.91
Cl 0.6357 0.7474 0.0615  1 Cu 2.23
Cl 0.8789 0.2270 0.1953  1 Th 2.65, 1 Na 2.77
Cl 0.8531 0.2344 0.7202  1 Th 2.70, 1 Cu 2.76, 1 Na 2.91
Cl 0.3643 0.2526 0.9385  1 Cu 2.23
Cl 0.1211 0.7730 0.8047  1 Th 2.65, 1 Na 2.77
Cl 0.6094 0.7316 0.5326  2 Cu 2.22-2.28
Cl 0.3906 0.2684 0.4674  2 Cu 2.22-2.28

Computed properties:
space group = No. 2
uncorrected formation energy = -1.388 eV/atom

---

(2)
An optimized crystal structure of SmPd6Au. Source: Alexandria via LeMat-Bulk, functional PBE.

Cell: 5.2029 5.2029 5.2029 Å, 90.00 90.00 90.00°
With the nearest neighbours (Å) after each atom.
Fractional coordinates of all 8 atoms:
Sm 0.5000 0.5000 0.5000  12 Pd 2.92
Pd 0.5000 0.7551 0.0000  2 Pd 2.55-2.65
Pd 0.7551 0.0000 0.5000  2 Pd 2.55-2.65
Pd 0.0000 0.5000 0.2449  2 Pd 2.55-2.65
Pd 0.2449 0.0000 0.5000  2 Pd 2.55-2.65
Pd 0.5000 0.2449 0.0000  2 Pd 2.55-2.65
Pd 0.0000 0.5000 0.7551  2 Pd 2.55-2.65
Au 0.0000 0.0000 0.0000  12 Pd 2.90

Computed properties:
excess energy over the best structure of this formula in the dataset = 150.8 meV per atom
space group = No. 200
formation enthalpy at 0 K = -0.26 eV per atom

---

(3)
An optimized crystal structure of Nd4Sb2Rh. Source: Alexandria via LeMat-Bulk, functional PBE.

Cell: 4.3738 7.4556 8.3711 Å, 116.72 105.14 90.00°
With the nearest neighbours (Å) after each atom.
Fractional coordinates of all 7 atoms:
Nd 0.8849 0.1979 0.7697  1 Rh 2.86, 3 Sb 3.11-3.15
Nd 0.1151 0.8021 0.2303  1 Rh 2.86, 3 Sb 3.11-3.15
Nd 0.6165 0.2580 0.2330  2 Rh 2.94, 3 Sb 3.17-3.23
Nd 0.3835 0.7420 0.7670  2 Rh 2.94, 3 Sb 3.17-3.23
Sb 0.7358 0.7370 0.4715  6 Nd 3.11-3.23
Sb 0.2642 0.2630 0.5285  6 Nd 3.11-3.23
Rh 0.0000 0.0000 0.0000  6 Nd 2.86-2.94

Computed properties:
space group = No. 12
uncorrected formation energy = -0.709 eV/atom

---

(4)
An optimized crystal structure of Tb3Pr7Dy2. Source: Alexandria via LeMat-Bulk, functional PBE.

Cell: 3.6508 5.8725 19.6089 Å, 98.43 90.00 90.00°
With the nearest neighbours (Å) after each atom.
Fractional coordinates of all 12 atoms:
Tb 0.5000 0.5000 0.0000  8 Pr 3.36-3.46, 2 Tb 3.65
Tb 0.0000 0.1843 0.3690  2 Tb 3.65, 8 Pr 3.71-3.95, 4 Dy 3.72
Tb 0.0000 0.8157 0.6310  2 Tb 3.65, 8 Pr 3.71-3.95, 4 Dy 3.72
Pr 0.5000 0.7322 0.4643  1 Dy 3.22, 2 Pr 3.24-3.25
Pr 0.5000 0.2678 0.5357  1 Dy 3.22, 2 Pr 3.24-3.25
Pr 0.0000 0.5745 0.1457  2 Tb 3.36, 2 Dy 3.47, 6 Pr 3.56-3.65
Pr 0.0000 0.0000 0.0000  4 Tb 3.46, 2 Pr 3.65
Pr 0.0000 0.4255 0.8543  2 Tb 3.36, 2 Dy 3.47, 6 Pr 3.56-3.65
Pr 0.5000 0.9046 0.8115  6 Pr 3.56-3.65, 2 Dy 3.62-3.63, 2 Tb 3.95
Pr 0.5000 0.0954 0.1885  6 Pr 3.56-3.65, 2 Dy 3.62-3.63, 2 Tb 3.95
Dy 0.5000 0.6494 0.2981  3 Pr 3.22-3.47
Dy 0.5000 0.3506 0.7019  3 Pr 3.22-3.47

Computed properties:
excess energy over the best structure of this formula in the dataset = 30.3 meV per atom
space group = No. 10
formation enthalpy at 0 K = 0.10 eV per atom

---

(5)
An optimized crystal structure of La2HRh. Source: Alexandria via LeMat-Bulk, functional PBE.

Cell: 3.4081 3.4081 7.1328 Å, 90.00 90.00 90.00°
With the nearest neighbours (Å) after each atom.
Fractional coordinates of all 4 atoms:
H 0.5000 0.5000 0.0000  8 La 2.97
Rh 0.5000 0.5000 0.5000  8 La 3.02
La 0.0000 0.0000 0.7562  4 H 2.97, 4 Rh 3.02
La 0.0000 0.0000 0.2438  4 H 2.97, 4 Rh 3.02

Computed properties:
excess energy over the best structure of this formula in the dataset = 196.5 meV per atom
space group = No. 123

---

(6)
An optimized crystal structure of BaLiTaO4. Source: Alexandria via LeMat-Bulk, functional PBE.

Cell: 6.6676 6.0307 7.3101 Å, 90.00 113.48 90.00°
With the nearest neighbours (Å) after each atom.
Fractional coordinates of all 14 atoms:
Ba 0.7348 0.7500 0.9922  6 O 2.62-2.90
Ba 0.2652 0.2500 0.0078  6 O 2.62-2.90
Li 0.7983 0.7500 0.6012  3 O 1.89-1.99
Li 0.2017 0.2500 0.3988  3 O 1.89-1.99
Ta 0.2984 0.7500 0.3227  4 O 1.87-1.88
Ta 0.7016 0.2500 0.6773  4 O 1.87-1.88
O 0.9000 0.4874 0.7507  1 Ta 1.88, 1 Li 1.89
O 0.1000 0.9874 0.2493  1 Ta 1.88, 1 Li 1.89
O 0.1000 0.5126 0.2493  1 Ta 1.88, 1 Li 1.89
O 0.9000 0.0126 0.7507  1 Ta 1.88, 1 Li 1.89
O 0.4431 0.7500 0.1496  1 Ta 1.87
O 0.5569 0.2500 0.8504  1 Ta 1.87
O 0.4950 0.7500 0.5905  1 Ta 1.87, 1 Li 1.99
O 0.5050 0.2500 0.4095  1 Ta 1.87, 1 Li 1.99

Computed properties:
space group = No. 11
uncorrected formation energy = -2.693 eV/atom